LaCuF6: relaxed, PBE-GGA.

Calculated values
total magnetic moment: 0.25 μB per atom
density of states at the Fermi level: 0.030 states/eV per atom
uncorrected formation energy: -2703 meV/atom

Unit cell a=6.433 b=6.651 c=5.131 alpha=90.00 beta=108.78 gamma=90.00
Space group C2/m (No. 12)
One atom of each set of equivalent atoms:
1 La 0.000 0.000 0.000
2 Cu 0.000 0.500 0.500
3 F 0.101 0.309 0.797
4 F 0.202 0.000 0.492